[1]
Compound: Pm12AlSn6
Source: Alexandria
Functional: PBE
Structure: relaxed Values from VASP.

Geometry as Quantum ESPRESSO input:
```
&SYSTEM
  ibrav = 0, nat = 19, ntyp = 3
/
ATOMIC_SPECIES
Pm 145.00 Pm.upf
Al 26.98 Al.upf
Sn 118.71 Sn.upf
CELL_PARAMETERS angstrom
6.882 3.973 4.174
-6.882 3.973 4.174
0.000 -7.947 4.174
ATOMIC_POSITIONS angstrom
Pm -6.211 -1.444 6.924
Pm -1.855 -6.101 5.598
Pm -2.562 -0.362 4.892
Pm -4.356 4.657 5.598
Pm 1.594 -2.037 4.892
Pm -0.967 -2.399 7.630
Pm 0.967 2.399 4.892
Pm -1.594 2.037 7.630
Pm 4.356 -4.657 6.924
Pm 2.562 0.362 7.630
Pm 1.855 6.101 6.924
Pm 6.211 1.444 5.598
Al 0.000 0.000 0.000
Sn -1.271 -3.221 4.426
Sn -2.154 2.711 4.426
Sn -3.425 -0.510 8.096
Sn 3.425 0.510 4.426
Sn 2.154 -2.711 8.096
Sn 1.271 3.221 8.096
```

Formation energy ... -0.34 eV per atom
Space group ... R-3 (148)

***

[2]
Compound: Ta2ZnRuN
Source: Alexandria
Functional: PBE
Structure: relaxed Values from VASP.

Geometry as Quantum ESPRESSO input:
```
&SYSTEM
  ibrav = 0, nat = 5, ntyp = 4
/
ATOMIC_SPECIES
Ta 180.95 Ta.upf
Zn 65.41 Zn.upf
Ru 101.07 Ru.upf
N 14.01 N.upf
CELL_PARAMETERS angstrom
4.199 0.000 0.000
0.000 4.199 0.000
0.000 0.000 4.033
ATOMIC_POSITIONS angstrom
Ta 0.000 2.100 0.000
Ta 2.100 0.000 0.000
Zn 0.000 0.000 2.017
Ru 2.100 2.100 2.017
N 0.000 0.000 0.000
```

ΔE_f (raw) ... -220 meV per atom
Space group ... P4/mmm (123)

***

[3]
Compound: Rb3SbSe
Source: Alexandria
Functional: PBE
Structure: relaxed Values from VASP.

Geometry as Quantum ESPRESSO input:
```
&SYSTEM
  ibrav = 0, nat = 5, ntyp = 3
/
ATOMIC_SPECIES
Rb 85.47 Rb.upf
Sb 121.76 Sb.upf
Se 78.96 Se.upf
CELL_PARAMETERS angstrom
6.558 0.000 0.000
0.000 6.558 0.000
0.000 0.000 6.558
ATOMIC_POSITIONS angstrom
Rb 0.000 0.000 3.279
Rb 0.000 3.279 0.000
Rb 3.279 0.000 0.000
Sb 3.279 3.279 3.279
Se 0.000 0.000 0.000
```

ΔE_f (raw) ... -406 meV per atom
Space group ... Pm-3m (221)
Excess energy over the best structure of this formula in the dataset ... 281 meV per atom

***

[4]
Compound: In2FeOsRu
Source: Alexandria
Functional: PBE
Structure: relaxed Values from VASP.

Geometry as Quantum ESPRESSO input:
```
&SYSTEM
  ibrav = 0, nat = 5, ntyp = 4
/
ATOMIC_SPECIES
In 114.82 In.upf
Fe 55.84 Fe.upf
Os 190.23 Os.upf
Ru 101.07 Ru.upf
CELL_PARAMETERS angstrom
4.753 0.000 0.000
0.000 4.753 0.000
0.000 0.000 4.258
ATOMIC_POSITIONS angstrom
In 0.000 2.376 0.000
In 2.376 0.000 0.000
Fe 0.000 0.000 0.000
Os 2.376 2.376 2.129
Ru 0.000 0.000 2.129
```

Formation energy ... 1.39 eV per atom
Space group ... P4/mmm (123)

***

[5]
Compound: CeEuOs4
Source: Alexandria
Functional: PBE
Structure: relaxed Values from VASP.

Geometry as Quantum ESPRESSO input:
```
&SYSTEM
  ibrav = 0, nat = 6, ntyp = 3
/
ATOMIC_SPECIES
Ce 140.12 Ce.upf
Eu 151.96 Eu.upf
Os 190.23 Os.upf
CELL_PARAMETERS angstrom
0.000 3.824 3.824
3.824 0.000 3.824
3.824 3.824 0.000
ATOMIC_POSITIONS angstrom
Ce 0.000 0.000 0.000
Eu 1.912 1.912 1.912
Os 4.779 2.868 2.868
Os 2.868 4.779 2.868
Os 2.868 2.868 4.779
Os 4.779 4.779 4.779
```

Formation energy ... -0.05 eV per atom
Space group ... F-43m (216)

***

[6]
Compound: K3Hg2Au2
Source: Alexandria
Functional: PBE
Structure: relaxed Values from VASP.

Geometry as Quantum ESPRESSO input:
```
&SYSTEM
  ibrav = 0, nat = 14, ntyp = 3
/
ATOMIC_SPECIES
K 39.10 K.upf
Hg 200.59 Hg.upf
Au 196.97 Au.upf
CELL_PARAMETERS angstrom
12.460 0.000 0.000
0.000 4.651 0.000
-3.238 0.000 8.392
ATOMIC_POSITIONS angstrom
K 0.000 0.000 0.000
K 0.265 0.000 5.556
K 2.728 2.325 2.836
K 6.230 2.325 0.000
K 6.495 2.325 5.556
K 8.958 0.000 2.836
Hg -0.791 2.325 2.857
Hg 3.783 0.000 5.535
Hg 5.439 0.000 2.857
Hg 10.014 2.325 5.535
Au -0.659 2.325 7.790
Au 3.651 0.000 0.602
Au 5.572 0.000 7.790
Au 9.881 2.325 0.602
```

Formation energy ... -0.30 eV per atom
Space group ... C2/m (12)

***

[7]
Compound: Ho2Ge2O7
Source: Alexandria
Functional: PBE
Structure: relaxed Values from VASP.

Geometry as Quantum ESPRESSO input:
```
&SYSTEM
  ibrav = 0, nat = 11, ntyp = 3
/
ATOMIC_SPECIES
Ho 164.93 Ho.upf
Ge 72.64 Ge.upf
O 16.00 O.upf
CELL_PARAMETERS angstrom
3.502 -4.603 0.000
3.502 4.603 0.000
-1.076 0.000 4.890
ATOMIC_POSITIONS angstrom
Ho 3.502 2.827 0.000
Ho 3.502 -2.827 0.000
Ge 1.262 0.000 2.900
Ge 4.666 0.000 1.990
O 0.406 0.000 1.352
O 0.978 1.460 3.862
O 0.978 -1.460 3.862
O 2.964 0.000 2.445
O 4.950 1.460 1.028
O 4.950 -1.460 1.028
O 5.522 0.000 3.538
```

ΔE_f (raw) ... -2620 meV per atom
Space group ... C2/m (12)
Excess energy over the best structure of this formula in the dataset ... 5 meV per atom

***

[8]
Compound: MgSi
Source: Alexandria
Functional: PBE
Structure: relaxed Values from VASP.

Geometry as Quantum ESPRESSO input:
```
&SYSTEM
  ibrav = 0, nat = 12, ntyp = 2
/
ATOMIC_SPECIES
Mg 24.30 Mg.upf
Si 28.09 Si.upf
CELL_PARAMETERS angstrom
5.723 -1.985 0.000
5.723 1.985 0.000
-0.259 0.000 10.064
ATOMIC_POSITIONS angstrom
Mg 0.000 0.000 0.000
Mg 1.744 0.000 4.679
Mg 4.144 0.000 7.958
Mg 6.161 0.000 2.395
Mg 7.857 0.000 9.611
Mg 9.429 0.000 2.869
Si 0.980 0.000 7.602
Si 2.028 0.000 1.768
Si 4.083 0.000 0.644
Si 4.862 0.000 4.687
Si 8.000 0.000 6.735
Si 10.461 0.000 6.039
```

ΔE_f (raw) ... 50 meV per atom
Space group ... Cm (8)

***

[9]
Compound: PmSiRh
Source: Alexandria
Functional: PBE
Structure: relaxed Values from VASP.

Geometry as Quantum ESPRESSO input:
```
&SYSTEM
  ibrav = 0, nat = 12, ntyp = 3
/
ATOMIC_SPECIES
Pm 145.00 Pm.upf
Si 28.09 Si.upf
Rh 102.91 Rh.upf
CELL_PARAMETERS angstrom
5.960 0.000 0.000
0.000 5.726 0.000
-3.229 0.000 7.039
ATOMIC_POSITIONS angstrom
Pm -0.025 0.793 2.673
Pm -1.640 2.070 6.193
Pm 4.371 3.656 0.846
Pm 2.757 4.933 4.366
Si -0.326 3.646 3.849
Si 1.289 4.942 0.329
Si 1.442 0.783 6.710
Si 3.057 2.080 3.190
Rh 1.325 3.430 2.134
Rh -0.289 5.158 5.654
Rh 3.020 0.567 1.385
Rh 1.406 2.296 4.905
```

ΔE_f (raw) ... -963 meV per atom
Space group ... P2_1/c (14)
Excess energy over the best structure of this formula in the dataset ... 2 meV per atom

***

[10]
Compound: CdSbTe2Os
Source: Alexandria
Functional: PBE
Structure: relaxed Values from VASP.

Geometry as Quantum ESPRESSO input:
```
&SYSTEM
  ibrav = 0, nat = 5, ntyp = 4
/
ATOMIC_SPECIES
Cd 112.41 Cd.upf
Sb 121.76 Sb.upf
Te 127.60 Te.upf
Os 190.23 Os.upf
CELL_PARAMETERS angstrom
5.431 0.000 0.000
0.000 5.431 0.000
0.000 0.000 5.022
ATOMIC_POSITIONS angstrom
Cd 0.000 0.000 0.000
Sb 2.715 2.715 0.000
Te 0.000 2.715 2.511
Te 2.715 0.000 2.511
Os 2.715 2.715 2.511
```

ΔE_f (raw) ... 620 meV per atom
Space group ... P4/mmm (123)
Excess energy over the best structure of this formula in the dataset ... 0 meV per atom

***

no.,final energy (eV/atom)
1,-4.80
2,-8.74
3,-2.51
4,-5.50
5,-10.24
6,-1.79
7,-7.45
8,-3.46
9,-6.80
10,-3.89